(1)
Compound: CsCrI2F
Source: Alexandria via LeMat-Bulk
Functional: PBEsol
Structure: optimized geometry

Unit cell a=5.069 b=5.733 c=5.733 alpha=90.00 beta=90.00 gamma=90.00
Last column: magnetic moment on the atom in μB.
Element x y z (fractional)
F: 0.000 0.000 0.000  -0.22
Cr: 0.500 0.500 0.500  4.33
I: 0.000 0.500 0.000  -0.23
I: 0.000 0.000 0.500  -0.23
Cs: 0.500 0.000 0.000  0.01

* V: 167 Å³/f.u.
* energy relative to the elements, uncorrected: -0.167 eV/atom
* crystal system: tetragonal
* SG: P4/mmm (123)
* total DFT energy (no corrections): -3.497 eV/atom



(2)
Compound: CsCrOF2
Source: Alexandria via LeMat-Bulk
Functional: PBEsol
Structure: optimized geometry

Unit cell a=4.379 b=5.055 c=5.055 alpha=90.00 beta=90.00 gamma=90.00
Last column: magnetic moment on the atom in μB.
Element x y z (fractional)
Cr: 0.500 0.500 0.500  4.26
Cs: 0.000 0.000 0.000  -0.01
F: 0.000 0.000 0.500  -0.04
F: 0.000 0.500 0.000  -0.04
O: 0.500 0.000 0.000  -0.06

* V: 112 Å³/f.u.
* energy relative to the elements, uncorrected: -0.164 eV/atom
* crystal system: tetragonal
* SG: P4/mmm (123)
* total DFT energy (no corrections): -4.222 eV/atom



(3)
Compound: CsCrFe3
Source: Alexandria via LeMat-Bulk
Functional: PBEsol
Structure: optimized geometry

Unit cell a=4.626 b=4.626 c=4.626 alpha=90.00 beta=90.00 gamma=90.00
Last column: magnetic moment on the atom in μB.
Element x y z (fractional)
Fe: 0.500 0.000 0.000  2.10
Fe: 0.000 0.500 0.000  2.10
Fe: 0.000 0.000 0.500  2.10
Cr: 0.500 0.500 0.500  3.83
Cs: 0.000 0.000 0.000  -0.06

* V: 99 Å³/f.u.
* crystal system: cubic
* formation energy: 14.14 eV/f.u.
* SG: Pm-3m (221)
* total DFT energy (no corrections): -4.787 eV/atom



(4)
Compound: CsCr2Ge2
Source: Alexandria via LeMat-Bulk
Functional: PBEsol
Structure: optimized geometry

Unit cell a=4.395 b=4.395 c=7.334 alpha=107.43 beta=107.43 gamma=90.00
Last column: magnetic moment on the atom in μB.
Element x y z (fractional)
Cr: 0.250 0.750 0.500  2.48
Cr: 0.750 0.250 0.500  2.48
Ge: 0.323 0.323 0.647  -0.20
Ge: 0.677 0.677 0.353  -0.20
Cs: 0.000 0.000 0.000  0.00

* V: 128 Å³/f.u.
* crystal system: tetragonal
* formation energy: 1.52 eV/f.u.
* SG: I4/mmm (139)
* total DFT energy (no corrections): -5.957 eV/atom